Sr3CoTe2O9 after structural relaxation, computed with GGA+U.

Calculated values
The value obtained for the total energy is -0.4341 Ry per atom. Its density of states at the Fermi level is 0.085 states/eV/atom.

Unit cell a=5.8080 b=5.8080 c=7.1464 alpha=90.00 beta=90.00 gamma=120.00
Each line ends with the local moment (μB).
Fractional coordinates of all 15 atoms:
O: 0.5000 0.5000 0.0000  0.00
O: 0.0000 0.5000 0.0000  0.00
O: 0.1704 0.3408 0.3328  0.01
O: 0.5000 0.0000 0.0000  0.00
O: 0.6592 0.8296 0.3328  0.01
O: 0.8296 0.6592 0.6672  0.01
O: 0.8296 0.1704 0.6672  0.01
O: 0.1704 0.8296 0.3328  0.01
O: 0.3408 0.1704 0.6672  0.01
Sr: 0.0000 0.0000 0.0000  0.00
Sr: 0.3333 0.6667 0.6580  0.00
Sr: 0.6667 0.3333 0.3420  0.00
Te: 0.3333 0.6667 0.1791  0.01
Te: 0.6667 0.3333 0.8209  0.01
Co: 0.0000 0.0000 0.5000  2.65